# 1
# NdSm2Hg (GGA-PBE, optimized geometry)
# D(E_F): 11.8 states/eV per cell
# total energy: -15.1 eV/f.u.
# DFT formation energy: -158 meV/atom
# energy relative to the lowest polymorph listed for this composition: 0.0734 eV/atom
# calculated density: 8.4 g cm⁻³
data_NdSm2Hg
_cell_length_a 3.6954
_cell_length_b 3.6954
_cell_length_c 32.5066
_cell_angle_alpha 90.00
_cell_angle_beta 90.00
_cell_angle_gamma 120.00
_space_group_name_H-M_alt 'R -3 m'
_space_group_IT_number 166
_space_group_name_Hall '-R 3 2"'
loop_
_atom_site_label
_atom_site_fract_x
_atom_site_fract_y
_atom_site_fract_z
Nd1 0.0000 0.0000 0.0000
Sm1 0.0000 0.0000 0.2420
Hg1 0.0000 0.0000 0.5000

=====

# 2
# NdSm3Hg3 (GGA-PBE, optimized geometry)
# D(E_F): 36.5 states/eV per cell
# total energy: -22.0 eV/f.u.
# DFT formation energy: -309 meV/atom
# energy relative to the lowest polymorph listed for this composition: 0.0000 eV/atom
# calculated density: 9.5 g cm⁻³
data_NdSm3Hg3
_cell_length_a 10.6801
_cell_length_b 10.8087
_cell_length_c 7.2536
_cell_angle_alpha 90.00
_cell_angle_beta 90.00
_cell_angle_gamma 90.00
_space_group_name_H-M_alt 'C m m m'
_space_group_IT_number 65
_space_group_name_Hall '-C 2 2'
loop_
_atom_site_label
_atom_site_fract_x
_atom_site_fract_y
_atom_site_fract_z
Nd1 0.2384 0.0000 0.0000
Sm1 0.0000 0.2444 0.5000
Sm2 0.0000 0.2473 0.0000
Sm3 0.2406 0.0000 0.5000
Hg1 0.0000 0.5000 0.2539
Hg2 0.2500 0.2500 0.2527

=====

# 3
# Nd4Sm3Hg (GGA-PBE, optimized geometry)
# D(E_F): 10.8 states/eV per cell
# total energy: -34.4 eV/f.u.
# DFT formation energy: -104 meV/atom
# calculated density: 7.7 g cm⁻³
data_Nd4Sm3Hg
_cell_length_a 3.6937
_cell_length_b 3.6937
_cell_length_c 19.4244
_cell_angle_alpha 90.00
_cell_angle_beta 90.00
_cell_angle_gamma 90.00
_space_group_name_H-M_alt 'P 4/m m m'
_space_group_IT_number 123
_space_group_name_Hall '-P 4 2'
loop_
_atom_site_label
_atom_site_fract_x
_atom_site_fract_y
_atom_site_fract_z
Nd1 0.0000 0.0000 0.1052
Nd2 0.0000 0.0000 0.3686
Sm1 0.5000 0.5000 0.2368
Sm2 0.5000 0.5000 0.5000
Hg1 0.5000 0.5000 0.0000

=====

# 4
# NdSm2Hg (GGA-PBE, optimized geometry)
# D(E_F): 25.2 states/eV per cell
# total energy: -14.7 eV/f.u.
# DFT formation energy: -48 meV/atom
# energy relative to the lowest polymorph listed for this composition: 0.1829 eV/atom
# calculated density: 9.0 g cm⁻³
data_NdSm2Hg
_cell_length_a 7.8066
_cell_length_b 7.8066
_cell_length_c 7.8066
_cell_angle_alpha 90.00
_cell_angle_beta 90.00
_cell_angle_gamma 90.00
_space_group_name_H-M_alt 'F m -3 m'
_space_group_IT_number 225
_space_group_name_Hall '-F 4 2 3'
loop_
_atom_site_label
_atom_site_fract_x
_atom_site_fract_y
_atom_site_fract_z
Nd1 0.0000 0.0000 0.0000
Sm1 0.2500 0.2500 0.2500
Hg1 0.0000 0.0000 0.5000

=====

# 5
# Nd8Sm2Hg (GGA-PBE, optimized geometry)
# D(E_F): 32.3 states/eV per cell
# total energy: -48.3 eV/f.u.
# DFT formation energy: -40 meV/atom
# energy relative to the lowest polymorph listed for this composition: 0.0000 eV/atom
# calculated density: 7.5 g cm⁻³
data_Nd8Sm2Hg
_cell_length_a 11.6357
_cell_length_b 5.2181
_cell_length_c 12.4423
_cell_angle_alpha 90.00
_cell_angle_beta 102.61
_cell_angle_gamma 90.00
_space_group_name_H-M_alt 'C 1 2/m 1'
_space_group_IT_number 12
loop_
_space_group_symop_operation_xyz
'x,y,z'
'-x,-y,-z'
'-x,y,-z'
'x,-y,z'
'x+1/2,y+1/2,z'
'-x+1/2,-y+1/2,-z'
'-x+1/2,y+1/2,-z'
'x+1/2,-y+1/2,z'
loop_
_atom_site_label
_atom_site_fract_x
_atom_site_fract_y
_atom_site_fract_z
Nd1 0.0315 0.0000 0.3300
Nd2 0.0860 0.5000 0.1397
Nd3 0.1409 0.0000 0.9510
Nd4 0.2418 0.5000 0.4133
Sm1 0.1885 0.5000 0.7563
Hg1 0.0000 0.5000 0.5000

=====

# 6
# NdSm3Hg7 (GGA-PBE, optimized geometry)
# D(E_F): 30.1 states/eV per cell
# total energy: -25.0 eV/f.u.
# DFT formation energy: -356 meV/atom
# calculated density: 11.1 g cm⁻³
data_NdSm3Hg7
_cell_length_a 3.9708
_cell_length_b 24.9961
_cell_length_c 12.0848
_cell_angle_alpha 90.00
_cell_angle_beta 90.00
_cell_angle_gamma 90.00
_space_group_name_H-M_alt 'C m c m'
_space_group_IT_number 63
_space_group_name_Hall '-C 2c 2'
loop_
_atom_site_label
_atom_site_fract_x
_atom_site_fract_y
_atom_site_fract_z
Nd1 0.0000 0.0958 0.2500
Sm1 0.0000 0.0782 0.5697
Sm2 0.0000 0.2436 0.2500
Hg1 0.0000 0.2080 0.5719
Hg2 0.0000 0.3390 0.5924
Hg3 0.0000 0.3707 0.2500
Hg4 0.0000 0.4782 0.6163

=====

# 7
# Nd4SmHg (GGA-PBE, optimized geometry)
# D(E_F): 8.2 states/eV per cell
# total energy: -25.0 eV/f.u.
# DFT formation energy: -148 meV/atom
# energy relative to the lowest polymorph listed for this composition: 0.0000 eV/atom
# calculated density: 7.8 g cm⁻³
data_Nd4SmHg
_cell_length_a 3.7062
_cell_length_b 3.7062
_cell_length_c 14.2967
_cell_angle_alpha 90.00
_cell_angle_beta 90.00
_cell_angle_gamma 90.00
_space_group_name_H-M_alt 'P 4/m m m'
_space_group_IT_number 123
_space_group_name_Hall '-P 4 2'
loop_
_atom_site_label
_atom_site_fract_x
_atom_site_fract_y
_atom_site_fract_z
Nd1 0.0000 0.0000 0.1426
Nd2 0.5000 0.5000 0.3219
Sm1 0.0000 0.0000 0.5000
Hg1 0.5000 0.5000 0.0000

=====

# 8
# Nd3SmHg4 (GGA-PBE, optimized geometry)
# D(E_F): 17.3 states/eV per cell
# total energy: -24.0 eV/f.u.
# DFT formation energy: -474 meV/atom
# energy relative to the lowest polymorph listed for this composition: 0.0000 eV/atom
# calculated density: 10.3 g cm⁻³
data_Nd3SmHg4
_cell_length_a 5.4007
_cell_length_b 5.4007
_cell_length_c 15.3778
_cell_angle_alpha 90.00
_cell_angle_beta 90.00
_cell_angle_gamma 90.00
_space_group_name_H-M_alt 'I 4/m m m'
_space_group_IT_number 139
_space_group_name_Hall '-I 4 2'
loop_
_atom_site_label
_atom_site_fract_x
_atom_site_fract_y
_atom_site_fract_z
Nd1 0.0000 0.0000 0.0000
Nd2 0.0000 0.0000 0.2510
Sm1 0.0000 0.0000 0.5000
Hg1 0.0000 0.5000 0.1236

=====

# 9
# NdSmHg (GGA-PBE, optimized geometry)
# D(E_F): 3.7 states/eV per cell
# total energy: -10.3 eV/f.u.
# DFT formation energy: -180 meV/atom
# energy relative to the lowest polymorph listed for this composition: 0.1254 eV/atom
# calculated density: 9.1 g cm⁻³
data_NdSmHg
_cell_length_a 5.2184
_cell_length_b 5.2184
_cell_length_c 3.8318
_cell_angle_alpha 90.00
_cell_angle_beta 90.00
_cell_angle_gamma 120.00
_space_group_name_H-M_alt 'P 3 m 1'
_space_group_IT_number 156
loop_
_space_group_symop_operation_xyz
'x,y,z'
'-y,x-y,z'
'-x+y,-x,z'
'-y,-x,z'
'-x+y,y,z'
'x,x-y,z'
loop_
_atom_site_label
_atom_site_fract_x
_atom_site_fract_y
_atom_site_fract_z
Nd1 0.0000 0.0000 0.0000
Sm1 0.6667 0.3333 0.4382
Hg1 0.3333 0.6667 0.6828

=====

# 10
# NdSmHg6 (GGA-PBE, optimized geometry)
# D(E_F): 11.3 states/eV per cell
# total energy: -14.4 eV/f.u.
# DFT formation energy: -385 meV/atom
# calculated density: 12.4 g cm⁻³
data_NdSmHg6
_cell_length_a 5.0575
_cell_length_b 6.8012
_cell_length_c 11.7020
_cell_angle_alpha 90.00
_cell_angle_beta 90.00
_cell_angle_gamma 90.00
_space_group_name_H-M_alt 'A m m 2'
_space_group_IT_number 38
loop_
_space_group_symop_operation_xyz
'x,y,z'
'-x,-y,z'
'-x,y,z'
'x,-y,z'
'x,y+1/2,z+1/2'
'-x,-y+1/2,z+1/2'
'-x,y+1/2,z+1/2'
'x,-y+1/2,z+1/2'
loop_
_atom_site_label
_atom_site_fract_x
_atom_site_fract_y
_atom_site_fract_z
Nd1 0.0000 0.0000 0.0000
Sm1 0.5000 0.0000 0.6727
Hg1 0.0000 0.0000 0.5033
Hg2 0.0000 0.2443 0.2530
Hg3 0.5000 0.0000 0.1713
Hg4 0.5000 0.2414 0.4187

=====

# 11
# NdSm7Hg4 (GGA-PBE, optimized geometry)
# D(E_F): 13.4 states/eV per cell
# total energy: -41.9 eV/f.u.
# DFT formation energy: -244 meV/atom
# calculated density: 9.4 g cm⁻³
data_NdSm7Hg4
_cell_length_a 6.5614
_cell_length_b 6.6420
_cell_length_c 8.4267
_cell_angle_alpha 80.28
_cell_angle_beta 78.21
_cell_angle_gamma 87.35
_space_group_name_H-M_alt 'P -1'
_space_group_IT_number 2
loop_
_space_group_symop_operation_xyz
'x,y,z'
'-x,-y,-z'
loop_
_atom_site_label
_atom_site_fract_x
_atom_site_fract_y
_atom_site_fract_z
Nd1 0.0000 0.0000 0.0000
Sm1 0.1226 0.3261 0.6331
Sm2 0.2386 0.4681 0.0409
Sm3 0.3413 0.8133 0.6484
Sm4 0.5000 0.0000 0.0000
Hg1 0.1671 0.0794 0.3345
Hg2 0.4127 0.6339 0.3139

=====

# 12
# NdSm8Hg6 (GGA-PBE, optimized geometry)
# D(E_F): 57.8 states/eV per cell
# total energy: -48.0 eV/f.u.
# DFT formation energy: -245 meV/atom
# calculated density: 9.1 g cm⁻³
data_NdSm8Hg6
_cell_length_a 9.1267
_cell_length_b 9.1267
_cell_length_c 19.3190
_cell_angle_alpha 90.00
_cell_angle_beta 90.00
_cell_angle_gamma 120.00
_space_group_name_H-M_alt 'R -3'
_space_group_IT_number 148
_space_group_name_Hall '-R 3'
loop_
_atom_site_label
_atom_site_fract_x
_atom_site_fract_y
_atom_site_fract_z
Nd1 0.0000 0.0000 0.0000
Sm1 0.0000 0.0000 0.3326
Sm2 0.0012 0.3314 0.1146
Hg1 0.9998 0.3368 0.9449

=====

# 13
# Nd2SmHg2 (GGA-PBE, optimized geometry)
# D(E_F): 11.9 states/eV per cell
# total energy: -16.7 eV/f.u.
# DFT formation energy: -373 meV/atom
# energy relative to the lowest polymorph listed for this composition: 0.0000 eV/atom
# calculated density: 9.5 g cm⁻³
data_Nd2SmHg2
_cell_length_a 3.8362
_cell_length_b 5.4549
_cell_length_c 14.1643
_cell_angle_alpha 90.00
_cell_angle_beta 97.80
_cell_angle_gamma 90.00
_space_group_name_H-M_alt 'P 1 21/m 1'
_space_group_IT_number 11
loop_
_space_group_symop_operation_xyz
'x,y,z'
'-x,-y,-z'
'-x,y+1/2,-z'
'x,-y+1/2,z'
loop_
_atom_site_label
_atom_site_fract_x
_atom_site_fract_y
_atom_site_fract_z
Nd1 0.0469 0.2500 0.0920
Nd2 0.2338 0.2500 0.4700
Sm1 0.1465 0.7500 0.2907
Hg1 0.3581 0.7500 0.7153
Hg2 0.4480 0.2500 0.8980

=====

# 14
# Nd2SmHg (GGA-PBE, optimized geometry)
# D(E_F): 22.6 states/eV per cell
# total energy: -14.8 eV/f.u.
# DFT formation energy: -66 meV/atom
# energy relative to the lowest polymorph listed for this composition: 0.1589 eV/atom
# calculated density: 8.8 g cm⁻³
data_Nd2SmHg
_cell_length_a 7.8525
_cell_length_b 7.8525
_cell_length_c 7.8525
_cell_angle_alpha 90.00
_cell_angle_beta 90.00
_cell_angle_gamma 90.00
_space_group_name_H-M_alt 'F m -3 m'
_space_group_IT_number 225
_space_group_name_Hall '-F 4 2 3'
loop_
_atom_site_label
_atom_site_fract_x
_atom_site_fract_y
_atom_site_fract_z
Nd1 0.2500 0.2500 0.2500
Sm1 0.0000 0.0000 0.0000
Hg1 0.0000 0.0000 0.5000

=====

# 15
# NdSm2Hg3 (GGA-PBE, optimized geometry)
# D(E_F): 29.0 states/eV per cell
# total energy: -17.9 eV/f.u.
# DFT formation energy: -472 meV/atom
# calculated density: 10.5 g cm⁻³
data_NdSm2Hg3
_cell_length_a 5.3698
_cell_length_b 16.1160
_cell_length_c 7.6639
_cell_angle_alpha 90.00
_cell_angle_beta 90.00
_cell_angle_gamma 90.00
_space_group_name_H-M_alt 'C m m m'
_space_group_IT_number 65
_space_group_name_Hall '-C 2 2'
loop_
_atom_site_label
_atom_site_fract_x
_atom_site_fract_y
_atom_site_fract_z
Nd1 0.0000 0.1666 0.0000
Sm1 0.0000 0.1674 0.5000
Sm2 0.0000 0.5000 0.0000
Sm3 0.0000 0.5000 0.5000
Hg1 0.0000 0.0000 0.2538
Hg2 0.0000 0.3347 0.2545

=====

# 16
# Nd2Sm3Hg3 (GGA-PBE, optimized geometry)
# D(E_F): 19.5 states/eV per cell
# total energy: -27.4 eV/f.u.
# DFT formation energy: -349 meV/atom
# calculated density: 9.5 g cm⁻³
data_Nd2Sm3Hg3
_cell_length_a 3.8248
_cell_length_b 5.4415
_cell_length_c 22.5688
_cell_angle_alpha 90.00
_cell_angle_beta 90.00
_cell_angle_gamma 90.00
_space_group_name_H-M_alt 'I m m m'
_space_group_IT_number 71
_space_group_name_Hall '-I 2 2'
loop_
_atom_site_label
_atom_site_fract_x
_atom_site_fract_y
_atom_site_fract_z
Nd1 0.0000 0.0000 0.2319
Sm1 0.0000 0.0000 0.0000
Sm2 0.0000 0.5000 0.1194
Hg1 0.0000 0.0000 0.5000
Hg2 0.0000 0.5000 0.3838

=====

# 17
# NdSm5Hg3 (GGA-PBE, optimized geometry)
# D(E_F): 19.2 states/eV per cell
# total energy: -31.8 eV/f.u.
# DFT formation energy: -280 meV/atom
# calculated density: 9.4 g cm⁻³
data_NdSm5Hg3
_cell_length_a 9.2895
_cell_length_b 9.2895
_cell_length_c 7.0730
_cell_angle_alpha 90.00
_cell_angle_beta 90.00
_cell_angle_gamma 120.00
_space_group_name_H-M_alt 'P 63/m c m'
_space_group_IT_number 193
_space_group_name_Hall '-P 6c 2'
loop_
_atom_site_label
_atom_site_fract_x
_atom_site_fract_y
_atom_site_fract_z
Nd1 0.0000 0.0000 0.0000
Sm1 0.0000 0.3315 0.2500
Sm2 0.3333 0.6667 0.0000
Hg1 0.0000 0.3370 0.7500

=====

# 18
# Nd5Sm4Hg4 (GGA-PBE, optimized geometry)
# D(E_F): 22.6 states/eV per cell
# total energy: -47.9 eV/f.u.
# DFT formation energy: -306 meV/atom
# calculated density: 8.8 g cm⁻³
data_Nd5Sm4Hg4
_cell_length_a 12.3469
_cell_length_b 12.3469
_cell_length_c 5.2738
_cell_angle_alpha 90.00
_cell_angle_beta 90.00
_cell_angle_gamma 90.00
_space_group_name_H-M_alt 'I 4/m'
_space_group_IT_number 87
_space_group_name_Hall '-I 4'
loop_
_atom_site_label
_atom_site_fract_x
_atom_site_fract_y
_atom_site_fract_z
Nd1 0.0000 0.0000 0.0000
Nd2 0.1180 0.1849 0.5000
Sm1 0.0969 0.3918 0.0000
Hg1 0.0973 0.7620 0.0000

=====

# 19
# Nd3Sm4Hg (GGA-PBE, optimized geometry)
# D(E_F): 10.6 states/eV per cell
# total energy: -34.3 eV/f.u.
# DFT formation energy: -108 meV/atom
# calculated density: 7.8 g cm⁻³
data_Nd3Sm4Hg
_cell_length_a 3.6763
_cell_length_b 3.6763
_cell_length_c 19.4067
_cell_angle_alpha 90.00
_cell_angle_beta 90.00
_cell_angle_gamma 90.00
_space_group_name_H-M_alt 'P 4/m m m'
_space_group_IT_number 123
_space_group_name_Hall '-P 4 2'
loop_
_atom_site_label
_atom_site_fract_x
_atom_site_fract_y
_atom_site_fract_z
Nd1 0.0000 0.0000 0.0000
Nd2 0.0000 0.0000 0.2650
Sm1 0.5000 0.5000 0.1323
Sm2 0.5000 0.5000 0.3966
Hg1 0.0000 0.0000 0.5000

=====

# 20
# Nd4Sm5Hg4 (GGA-PBE, optimized geometry)
# D(E_F): 24.4 states/eV per cell
# total energy: -47.8 eV/f.u.
# DFT formation energy: -305 meV/atom
# calculated density: 8.9 g cm⁻³
data_Nd4Sm5Hg4
_cell_length_a 12.2495
_cell_length_b 12.2495
_cell_length_c 5.3145
_cell_angle_alpha 90.00
_cell_angle_beta 90.00
_cell_angle_gamma 90.00
_space_group_name_H-M_alt 'I 4/m'
_space_group_IT_number 87
_space_group_name_Hall '-I 4'
loop_
_atom_site_label
_atom_site_fract_x
_atom_site_fract_y
_atom_site_fract_z
Nd1 0.0984 0.3877 0.0000
Sm1 0.0000 0.0000 0.0000
Sm2 0.1161 0.1827 0.5000
Hg1 0.1023 0.7659 0.0000

=====

# 21
# Nd2Sm3Hg6 (GGA-PBE, optimized geometry)
# D(E_F): 20.6 states/eV per cell
# total energy: -26.8 eV/f.u.
# DFT formation energy: -117 meV/atom
# calculated density: 8.8 g cm⁻³
data_Nd2Sm3Hg6
_cell_length_a 5.1446
_cell_length_b 5.1446
_cell_length_c 27.5561
_cell_angle_alpha 90.00
_cell_angle_beta 90.00
_cell_angle_gamma 90.00
_space_group_name_H-M_alt 'I 4/m m m'
_space_group_IT_number 139
_space_group_name_Hall '-I 4 2'
loop_
_atom_site_label
_atom_site_fract_x
_atom_site_fract_y
_atom_site_fract_z
Nd1 0.0000 0.0000 0.1331
Sm1 0.0000 0.0000 0.3649
Sm2 0.0000 0.0000 0.5000
Hg1 0.0000 0.0000 0.2496
Hg2 0.0000 0.5000 0.0659

=====

# 22
# Nd8Sm2Hg (GGA-PBE, optimized geometry)
# D(E_F): 32.9 states/eV per cell
# total energy: -47.7 eV/f.u.
# DFT formation energy: 13 meV/atom
# energy relative to the lowest polymorph listed for this composition: 0.0527 eV/atom
# calculated density: 7.3 g cm⁻³
data_Nd8Sm2Hg
_cell_length_a 17.8549
_cell_length_b 5.6559
_cell_length_c 7.9744
_cell_angle_alpha 90.00
_cell_angle_beta 111.40
_cell_angle_gamma 90.00
_space_group_name_H-M_alt 'C 1 2/m 1'
_space_group_IT_number 12
loop_
_space_group_symop_operation_xyz
'x,y,z'
'-x,-y,-z'
'-x,y,-z'
'x,-y,z'
'x+1/2,y+1/2,z'
'-x+1/2,-y+1/2,-z'
'-x+1/2,y+1/2,-z'
'x+1/2,-y+1/2,z'
loop_
_atom_site_label
_atom_site_fract_x
_atom_site_fract_y
_atom_site_fract_z
Nd1 0.0136 0.0000 0.2662
Nd2 0.1048 0.5000 0.9287
Nd3 0.1641 0.5000 0.4250
Nd4 0.1810 0.0000 0.7282
Sm1 0.1876 0.0000 0.1587
Hg1 0.0000 0.5000 0.5000